# 1
# GGA-PBE Ba6Ag2Pb, relaxed
data_Ba6Ag2Pb
_space_group_name_H-M_alt 'P 1'
_space_group_IT_number 1
_cell_length_a 10.158
_cell_length_b 10.158
_cell_length_c 10.158
_cell_angle_alpha 113.83
_cell_angle_beta 107.85
_cell_angle_gamma 106.83
loop_
_space_group_symop_operation_xyz
'x,y,z'
loop_
_atom_site_label
_atom_site_fract_x
_atom_site_fract_y
_atom_site_fract_z
Ba1 0.053 0.244 0.809
Ba2 0.175 0.274 0.449
Ba3 0.175 0.726 0.902
Ba4 0.333 0.035 0.701
Ba5 0.333 0.632 0.299
Ba6 0.434 0.244 0.191
Ba7 0.566 0.756 0.809
Ba8 0.667 0.368 0.701
Ba9 0.667 0.965 0.299
Ba10 0.825 0.274 0.098
Ba11 0.825 0.726 0.551
Ba12 0.947 0.756 0.191
Ag1 0.118 0.618 0.500
Ag2 0.345 0.000 0.345
Ag3 0.655 0.000 0.655
Ag4 0.882 0.382 0.500
Pb1 0.000 0.000 0.000
Pb2 0.500 0.500 0.000
# energy relative to the elements: -0.2769 eV/atom
# symmetry: Immm

=====

# 2
# GGA-PBE BaAgPb, relaxed
data_BaAgPb
_space_group_name_H-M_alt 'P 1'
_space_group_IT_number 1
_cell_length_a 4.784
_cell_length_b 4.784
_cell_length_c 11.370
_cell_angle_alpha 90.10
_cell_angle_beta 90.10
_cell_angle_gamma 60.02
loop_
_space_group_symop_operation_xyz
'x,y,z'
loop_
_atom_site_label
_atom_site_fract_x
_atom_site_fract_y
_atom_site_fract_z
Ba1 0.168 0.168 0.326
Ba2 0.832 0.832 0.674
Ag1 0.167 0.167 0.958
Ag2 0.833 0.833 0.042
Pb1 0.500 0.500 0.137
Pb2 0.500 0.500 0.863
# energy relative to the elements: -0.1402 eV/atom
# symmetry: C2/m

=====

# 3
# GGA-PBE BaAg2Pb, relaxed
data_BaAg2Pb
_space_group_name_H-M_alt 'P 1'
_space_group_IT_number 1
_cell_length_a 5.190
_cell_length_b 5.190
_cell_length_c 4.333
_cell_angle_alpha 90.00
_cell_angle_beta 90.00
_cell_angle_gamma 90.07
loop_
_space_group_symop_operation_xyz
'x,y,z'
loop_
_atom_site_label
_atom_site_fract_x
_atom_site_fract_y
_atom_site_fract_z
Ba1 0.000 0.000 0.000
Ag1 0.000 0.500 0.500
Ag2 0.500 0.000 0.500
Pb1 0.500 0.500 0.000
# energy relative to the elements: -0.0777 eV/atom
# symmetry: Cmmm

=====

# 4
# GGA-PBE Ba2AgPb, relaxed
data_Ba2AgPb
_space_group_name_H-M_alt 'P 1'
_space_group_IT_number 1
_cell_length_a 4.089
_cell_length_b 6.105
_cell_length_c 6.106
_cell_angle_alpha 90.00
_cell_angle_beta 90.00
_cell_angle_gamma 90.00
loop_
_space_group_symop_operation_xyz
'x,y,z'
loop_
_atom_site_label
_atom_site_fract_x
_atom_site_fract_y
_atom_site_fract_z
Ba1 0.000 0.000 0.000
Ba2 0.000 0.500 0.500
Ag1 0.500 0.000 0.499
Pb1 0.500 0.500 0.000
# energy relative to the elements: -0.3974 eV/atom
# symmetry: Pmm2